A geometry-optimized KMg2Re structure, computed with PBE.

Output
- size of the total moment (μB per formula unit) = 1.99
- symmetry = F-43m, No. 216
- energy (eV/atom) = -2.928
- calculated formation energy (eV/f.u.) = 5.02
- E above lowest polymorph (eV per atom) = 0.653

abc: 5.0818 5.0818 5.0818
angles: 60.00 60.00 60.00
Atoms (fractional coordinates):
Mg (0.0000, 0.0000, 0.0000)
Mg (0.2500, 0.2500, 0.2500)
K (0.5000, 0.5000, 0.5000)
Re (0.7500, 0.7500, 0.7500)